Here is a geometry-optimized BaPrDy structure from the Alexandria database. Energies are from GGA-PBE.

```
BaPrDy
1.0
-2.8250 0.6570 -2.4989
-2.5033 0.2210 2.8881
4.0571 7.7570 0.3856
Dy Ba Pr
1 1 1
Direct
0.6809 0.6809 0.3618
0.0014 0.0014 0.0027
0.3178 0.3178 0.6355
```

Summary:
DOS(E_F) = 4.98 states/eV per cell
Space group = I4mm, No. 107
Density = 5992 kg/m³
Formation enthalpy at 0 K = 44 kJ/mol of formula units
Offset from the most stable computed form = 0.000 kcal/mol of atoms
Total moment = 0.000 μB per formula unit
Volume = 40.72 Å³ per atom

***

Here is a geometry-optimized BaPrDy2 structure from the Alexandria database. Energies are from GGA-PBE.

```
BaPrDy2
1.0
3.6527 0.0000 0.0000
1.8264 3.1633 0.0000
1.8264 1.0544 12.9781
Dy Ba Pr
2 1 1
Direct
0.0928 0.0928 0.7216
0.9072 0.9072 0.2784
0.0000 0.0000 0.0000
0.5000 0.5000 0.5000
```

Summary:
DOS(E_F) = 6.56 states/eV per cell
Space group = R-3m, No. 166
Density = 6680 kg/m³
Formation enthalpy at 0 K = 89 kJ/mol of formula units
Offset from the most stable computed form = 1.765 kcal/mol of atoms
Total moment = 0.001 μB per formula unit
Volume = 37.49 Å³ per atom

***

Here is a geometry-optimized BaPrDy2 structure from the Alexandria database. Energies are from GGA-PBE.

```
BaPrDy2
1.0
3.7455 0.0000 0.0000
0.0000 3.7455 0.0000
0.0000 0.0000 10.8421
Dy Pr Ba
2 1 1
Direct
0.0000 0.0000 0.2207
0.0000 0.0000 0.7793
0.5000 0.5000 0.0000
0.5000 0.5000 0.5000
```

Summary:
DOS(E_F) = 6.54 states/eV per cell
Space group = P4/mmm, No. 123
Density = 6586 kg/m³
Formation enthalpy at 0 K = 60 kJ/mol of formula units
Offset from the most stable computed form = 0.000 kcal/mol of atoms
Total moment = 0.000 μB per formula unit
Volume = 38.03 Å³ per atom

***

Here is a geometry-optimized Ba2PrDyS4 structure from the Alexandria database. Energies are from GGA-PBE.

```
Ba2PrDyS4
1.0
4.1928 0.0000 0.0000
0.0000 7.2605 0.1257
0.0000 -2.5409 7.1109
S Dy Ba Pr
4 1 2 1
Direct
0.0000 0.2510 0.7824
0.5000 0.2289 0.2126
0.0000 0.7490 0.2176
0.5000 0.7711 0.7874
0.0000 0.0000 0.0000
0.5000 0.0000 0.5000
0.0000 0.5000 0.5000
0.5000 0.5000 0.0000
```

Summary:
DOS(E_F) = 3.68 states/eV per cell
Energy relative to the elements, uncorrected = -2.0088 eV/atom
Space group = P2/m, No. 10
Density = 5385 kg/m³
Total moment = 0.000 μB per formula unit
Volume = 27.23 Å³ per atom